{"formula": "RbLaSm4Se8", "functional": "GGA-PBE", "state": "optimized geometry", "cell": [[-1.711, 8.610, -0.125], [-1.458, 4.075, -7.639], [-8.221, 2.814, -1.975]], "species": ["Se", "Se", "Se", "Se", "Se", "Se", "Se", "Se", "Sm", "Sm", "Sm", "Sm", "Rb", "La"], "frac_coords": [[0.801, 0.237, 0.725], [0.754, 0.754, 0.262], [0.230, 0.754, 0.262], [0.237, 0.801, 0.725], [0.232, 0.232, 0.304], [0.757, 0.757, 0.729], [0.237, 0.237, 0.725], [0.754, 0.230, 0.262], [0.626, 0.626, 0.123], [0.487, 0.004, 0.504], [0.004, 0.487, 0.504], [0.004, 0.004, 0.504], [0.372, 0.372, 0.884], [0.004, 0.004, 0.988]], "e_form_raw_ev_per_atom": -1.756, "total_energy_ev_per_cell": -77.2}